1.
Compound: Tm7Pd2Pb2
Source: Alexandria
Functional: PBE
Structure: relaxed

Cell: 9.7225 9.7225 9.7225 Å, 158.47 67.19 117.22°
Positions (direct):
Tm 0.0000 0.0000 0.0000
Tm 0.0377 0.3561 0.6816
Tm 0.0563 0.7086 0.3477
Tm 0.3609 0.7086 0.6523
Tm 0.4258 0.5512 0.8746
Tm 0.6745 0.3561 0.3184
Tm 0.6766 0.5512 0.1254
Pd 0.2870 0.0463 0.2407
Pd 0.8056 0.0463 0.7593
Pb 0.3138 0.3138 0.0000
Pb 0.7320 0.2320 0.5000

Values from the calculation:
density = 10.1 g cm⁻³
ΔE to the lowest computed polymorph = 0 meV per atom

2.
Compound: Tm3Pd12Pb
Source: Alexandria
Functional: PBE
Structure: relaxed

Cell: 4.0980 4.0980 16.3987 Å, 90.00 90.00 90.00°
Positions (direct):
Tm 0.0000 0.0000 0.0000
Tm 0.0000 0.0000 0.2484
Tm 0.0000 0.0000 0.7516
Pd 0.0000 0.5000 0.1247
Pd 0.0000 0.5000 0.3741
Pd 0.0000 0.5000 0.6259
Pd 0.0000 0.5000 0.8753
Pd 0.5000 0.0000 0.1247
Pd 0.5000 0.0000 0.3741
Pd 0.5000 0.0000 0.6259
Pd 0.5000 0.0000 0.8753
Pd 0.5000 0.5000 0.0000
Pd 0.5000 0.5000 0.2506
Pd 0.5000 0.5000 0.5000
Pd 0.5000 0.5000 0.7494
Pb 0.0000 0.0000 0.5000

Values from the calculation:
density = 12.0 g cm⁻³

3.
Compound: Tm4PdPb
Source: Alexandria
Functional: PBE
Structure: relaxed

Cell: 5.5807 6.8382 8.5778 Å, 90.00 102.12 90.00°
Positions (direct):
Tm 0.1492 0.2500 0.0589
Tm 0.2189 0.7500 0.3597
Tm 0.3178 0.5065 0.7639
Tm 0.3178 0.9935 0.7639
Tm 0.6822 0.0065 0.2361
Tm 0.6822 0.4935 0.2361
Tm 0.7811 0.2500 0.6403
Tm 0.8508 0.7500 0.9411
Pd 0.3449 0.7500 0.0491
Pd 0.6551 0.2500 0.9509
Pb 0.2203 0.2500 0.4289
Pb 0.7797 0.7500 0.5711

Values from the calculation:
density = 10.3 g cm⁻³
ΔE to the lowest computed polymorph = 0 meV per atom

4.
Compound: Tm12Pd6Pb
Source: Alexandria
Functional: PBE
Structure: relaxed

Cell: 8.5261 8.5261 8.5261 Å, 109.47 109.47 109.47°
Positions (direct):
Tm 0.1130 0.2974 0.8156
Tm 0.1844 0.4818 0.2974
Tm 0.1844 0.8870 0.7026
Tm 0.2974 0.1844 0.4818
Tm 0.2974 0.8156 0.1130
Tm 0.4818 0.2974 0.1844
Tm 0.5182 0.7026 0.8156
Tm 0.7026 0.1844 0.8870
Tm 0.7026 0.8156 0.5182
Tm 0.8156 0.1130 0.2974
Tm 0.8156 0.5182 0.7026
Tm 0.8870 0.7026 0.1844
Pd 0.1375 0.5000 0.6375
Pd 0.3625 0.8625 0.5000
Pd 0.5000 0.3625 0.8625
Pd 0.5000 0.6375 0.1375
Pd 0.6375 0.1375 0.5000
Pd 0.8625 0.5000 0.3625
Pb 0.0000 0.0000 0.0000

Values from the calculation:
density = 10.0 g cm⁻³
ΔE to the lowest computed polymorph = 0 meV per atom

5.
Compound: TmPd14Pb
Source: Alexandria
Functional: PBE
Structure: relaxed

Cell: 5.7431 5.7431 7.9146 Å, 90.00 90.00 90.00°
Positions (direct):
Tm 0.0000 0.0000 0.0000
Pd 0.0000 0.0000 0.5000
Pd 0.0000 0.5000 0.0000
Pd 0.0000 0.5000 0.5000
Pd 0.2491 0.2491 0.2564
Pd 0.2491 0.2491 0.7436
Pd 0.2491 0.7509 0.2564
Pd 0.2491 0.7509 0.7436
Pd 0.5000 0.0000 0.0000
Pd 0.5000 0.0000 0.5000
Pd 0.5000 0.5000 0.5000
Pd 0.7509 0.2491 0.2564
Pd 0.7509 0.2491 0.7436
Pd 0.7509 0.7509 0.2564
Pd 0.7509 0.7509 0.7436
Pb 0.5000 0.5000 0.0000

Values from the calculation:
density = 11.9 g cm⁻³

6.
Compound: TmPdPb
Source: Alexandria
Functional: PBE
Structure: relaxed

Cell: 6.1812 6.1812 6.1812 Å, 146.94 146.94 47.45°
Positions (direct):
Tm 0.0000 0.0000 0.0000
Pd 0.3656 0.3656 0.0000
Pb 0.7031 0.7031 0.0000

Values from the calculation:
density = 11.4 g cm⁻³

7.
Compound: Tm2Pd9Pb
Source: Alexandria
Functional: PBE
Structure: relaxed

Cell: 4.1016 4.1016 12.2863 Å, 90.00 90.00 90.00°
Positions (direct):
Tm 0.0000 0.0000 0.1656
Tm 0.0000 0.0000 0.8344
Pd 0.0000 0.5000 0.0000
Pd 0.0000 0.5000 0.3321
Pd 0.0000 0.5000 0.6679
Pd 0.5000 0.0000 0.0000
Pd 0.5000 0.0000 0.3321
Pd 0.5000 0.0000 0.6679
Pd 0.5000 0.5000 0.1672
Pd 0.5000 0.5000 0.5000
Pd 0.5000 0.5000 0.8328
Pb 0.0000 0.0000 0.5000

Values from the calculation:
density = 12.1 g cm⁻³

8.
Compound: Tm2Pd8Pb
Source: Alexandria
Functional: PBE
Structure: relaxed

Cell: 8.1369 8.1369 6.0126 Å, 111.59 111.59 33.49°
Positions (direct):
Tm 0.1884 0.1884 0.1885
Tm 0.8116 0.8116 0.8115
Pd 0.0002 0.0002 0.2358
Pd 0.9998 0.9998 0.7642
Pd 0.1796 0.1796 0.6800
Pd 0.3545 0.3545 0.0891
Pd 0.3540 0.3540 0.6192
Pd 0.6460 0.6460 0.3808
Pd 0.6455 0.6455 0.9109
Pd 0.8204 0.8204 0.3200
Pb 0.5000 0.5000 0.5000

Values from the calculation:
density = 11.4 g cm⁻³

9.
Compound: Tm3Pd2Pb
Source: Alexandria
Functional: PBE
Structure: relaxed

Cell: 3.5183 3.5183 11.1811 Å, 90.00 90.00 90.00°
Positions (direct):
Tm 0.0000 0.0000 0.0000
Tm 0.0000 0.0000 0.3008
Tm 0.0000 0.0000 0.6992
Pd 0.5000 0.5000 0.1540
Pd 0.5000 0.5000 0.8460
Pb 0.5000 0.5000 0.5000

Values from the calculation:
density = 11.1 g cm⁻³

10.
Compound: TmPd6Pb
Source: Alexandria
Functional: PBE
Structure: relaxed

Cell: 4.9533 4.9533 7.3065 Å, 104.90 104.90 67.76°
Positions (direct):
Tm 0.0000 0.0000 0.0000
Pd 0.0366 0.5583 0.1990
Pd 0.1405 0.1405 0.4338
Pd 0.4417 0.9634 0.8010
Pd 0.5583 0.0366 0.1990
Pd 0.8595 0.8595 0.5662
Pd 0.9634 0.4417 0.8010
Pb 0.5000 0.5000 0.5000

Values from the calculation:
density = 10.7 g cm⁻³
ΔE to the lowest computed polymorph = 311 meV per atom

11.
Compound: Tm11Pd4Pb9
Source: Alexandria
Functional: PBE
Structure: relaxed

Cell: 13.1192 13.1192 3.8310 Å, 90.00 90.00 112.51°
Positions (direct):
Tm 0.0000 0.0000 0.0000
Tm 0.0814 0.4167 0.0000
Tm 0.1633 0.8367 0.0000
Tm 0.3085 0.3085 0.0000
Tm 0.3720 0.6280 0.0000
Tm 0.4167 0.0814 0.0000
Tm 0.5833 0.9186 0.0000
Tm 0.6280 0.3720 0.0000
Tm 0.6915 0.6915 0.0000
Tm 0.8367 0.1633 0.0000
Tm 0.9186 0.5833 0.0000
Pd 0.2499 0.4499 0.5000
Pd 0.4499 0.2499 0.5000
Pd 0.5501 0.7501 0.5000
Pd 0.7501 0.5501 0.5000
Pb 0.0626 0.2152 0.5000
Pb 0.1452 0.6277 0.5000
Pb 0.2152 0.0626 0.5000
Pb 0.3723 0.8548 0.5000
Pb 0.5000 0.5000 0.5000
Pb 0.6277 0.1452 0.5000
Pb 0.7848 0.9374 0.5000
Pb 0.8548 0.3723 0.5000
Pb 0.9374 0.7848 0.5000

Values from the calculation:
density = 11.3 g cm⁻³

12.
Compound: Tm6Pd5Pb
Source: Alexandria
Functional: PBE
Structure: relaxed

Cell: 8.5808 8.5808 8.5808 Å, 146.67 130.45 61.03°
Positions (direct):
Tm 0.0689 0.3275 0.7414
Tm 0.2306 0.0000 0.2306
Tm 0.4139 0.6725 0.7414
Tm 0.5861 0.3275 0.2586
Tm 0.7694 0.0000 0.7694
Tm 0.9311 0.6725 0.2586
Pd 0.0000 0.5000 0.5000
Pd 0.1690 0.1690 0.0000
Pd 0.3407 0.8407 0.5000
Pd 0.6593 0.1593 0.5000
Pd 0.8310 0.8310 0.0000
Pb 0.5000 0.5000 0.0000

Values from the calculation:
density = 11.1 g cm⁻³

N(E_F)
In order: 8.2; 9.7; 5.1; 20.5; 26.9; 2.1; 5.6; 4.1; 5.1; 5.2; 15.1; 8.3
Unit: states/eV/f.u.
ΔH_f (0 K)
In order: -0.53; -0.76; -0.48; -0.65; -0.27; -0.52; -0.71; -0.58; -0.75; -0.28; -0.58; -0.83
Unit: eV/atom